1.
A relaxed structure of CdHgI2O8, computed with GGA-PBE.

a = 6.3458 Å, b = 6.3458 Å, c = 6.3458 Å
α = 107.33°, β = 107.33°, γ = 113.85°
Closest atoms and distances in Å follow each position.
Fractional coordinates of all 12 atoms:
1 Cd 0.0000 0.0000 0.0000  8 O 2.41-2.57
2 Hg 0.2500 0.7500 0.5000  8 O 2.40-2.68
3 I 0.5000 0.5000 0.0000  4 O 1.91
4 I 0.7500 0.2500 0.5000  4 O 1.85
5 O 0.3112 0.1254 0.8142  1 I 1.91
6 O 0.3112 0.4970 0.1858  1 I 1.91
7 O 0.3904 0.0788 0.3117  1 I 1.85
8 O 0.5030 0.6888 0.8142  1 I 1.91
9 O 0.7671 0.0788 0.6883  1 I 1.85
10 O 0.8746 0.6888 0.1858  1 I 1.91
11 O 0.9212 0.2329 0.3117  1 I 1.85
12 O 0.9212 0.6096 0.6883  1 I 1.85

Properties
As for the volume: 16.32 A^3/atom. The value obtained for the raw formation energy is -178 meV per atom. The space group is No. 119.

***

2.
A relaxed structure of CdHg2IO6, computed with GGA-PBE.

a = 5.9076 Å, b = 5.9076 Å, c = 5.9076 Å
α = 58.92°, β = 58.92°, γ = 58.92°
Closest atoms and distances in Å follow each position.
Fractional coordinates of all 10 atoms:
1 Cd 0.0000 0.0000 0.0000  6 O 2.35
2 Hg 0.2511 0.2511 0.2511  3 O 2.25
3 Hg 0.7489 0.7489 0.7489  3 O 2.25
4 I 0.5000 0.5000 0.5000  6 O 2.01
5 O 0.1576 0.7192 0.3858  1 I 2.01
6 O 0.2808 0.6142 0.8424  1 I 2.01
7 O 0.3858 0.1576 0.7192  1 I 2.01
8 O 0.6142 0.8424 0.2808  1 I 2.01
9 O 0.7192 0.3858 0.1576  1 I 2.01
10 O 0.8424 0.2808 0.6142  1 I 2.01

Properties
As for the volume: 14.22 A^3/atom. The value obtained for the raw formation energy is -397 meV per atom. The space group is No. 148.

***

3.
A relaxed structure of Cd2HgIO6, computed with GGA-PBE.

a = 6.0322 Å, b = 6.0322 Å, c = 6.0322 Å
α = 57.16°, β = 57.16°, γ = 57.16°
Closest atoms and distances in Å follow each position.
Fractional coordinates of all 10 atoms:
1 Cd 0.0000 0.0000 0.0000  6 O 2.27-2.45
2 Cd 0.4843 0.4843 0.4843  6 O 2.29-2.50
3 Hg 0.2199 0.2199 0.2199  3 O 2.33
4 I 0.6992 0.6992 0.6992  6 O 1.99-2.02
5 O 0.0475 0.4578 0.7972  1 I 1.99
6 O 0.3438 0.8831 0.6158  1 I 2.02
7 O 0.4578 0.7972 0.0475  1 I 1.99
8 O 0.6158 0.3438 0.8831  1 I 2.02
9 O 0.7972 0.0475 0.4578  1 I 1.99
10 O 0.8831 0.6158 0.3438  1 I 2.02

Properties
As for the volume: 14.51 A^3/atom. The value obtained for the raw formation energy is -573 meV per atom. The space group is No. 146.

***

4.
A relaxed structure of CdHgP2I, computed with GGA-PBE.

a = 5.2430 Å, b = 5.2430 Å, c = 5.7913 Å
α = 90.00°, β = 90.00°, γ = 90.00°
Closest atoms and distances in Å follow each position.
Fractional coordinates of all 5 atoms:
1 Cd 0.0000 0.0000 0.0000  2 I 2.90
2 Hg 0.5000 0.5000 0.0000  4 Cd 3.71, 8 P 3.91
3 P 0.0000 0.5000 0.5000  2 I 2.62
4 P 0.5000 0.0000 0.5000  2 I 2.62
5 I 0.0000 0.0000 0.5000  4 P 2.62, 2 Cd 2.90

Properties
As for the volume: 31.84 A^3/atom. The value obtained for the raw formation energy is 1157 meV per atom. The space group is No. 123.

***

5.
A relaxed structure of CdHg2PtI, computed with GGA-PBE.

a = 5.3177 Å, b = 5.3177 Å, c = 5.3734 Å
α = 90.00°, β = 90.00°, γ = 90.00°
Closest atoms and distances in Å follow each position.
Fractional coordinates of all 5 atoms:
1 Cd 0.0000 0.0000 0.0000  2 Pt 2.69
2 Hg 0.0000 0.5000 0.5000  2 Pt 2.66
3 Hg 0.5000 0.0000 0.5000  2 Pt 2.66
4 Pt 0.0000 0.0000 0.5000  4 Hg 2.66, 2 Cd 2.69
5 I 0.5000 0.5000 0.0000  4 Cd 3.76, 8 Hg 3.78

Properties
As for the volume: 30.39 A^3/atom. The value obtained for the raw formation energy is -79 meV per atom. The space group is No. 123.

***

6.
A relaxed structure of Rb2Cd2HgI6, computed with GGA-PBE.

a = 8.3192 Å, b = 9.0948 Å, c = 9.3718 Å
α = 78.58°, β = 72.32°, γ = 77.59°
Closest atoms and distances in Å follow each position.
Fractional coordinates of all 11 atoms:
1 Rb 0.0147 0.2190 0.2073  6 I 3.71-3.93, 1 Hg 4.06
2 Rb 0.9853 0.7810 0.7927  6 I 3.71-3.93, 1 Hg 4.06
3 Cd 0.4980 0.1475 0.8112  4 I 2.75-2.96
4 Cd 0.5020 0.8525 0.1888  4 I 2.75-2.96
5 Hg 0.0000 0.5000 0.5000  2 Rb 4.06, 2 I 4.49
6 I 0.2760 0.9552 0.4455  1 Cd 2.75
7 I 0.2819 0.4203 0.8551  1 Cd 2.76
8 I 0.2927 0.9101 0.9718  2 Cd 2.93-2.96
9 I 0.7073 0.0899 0.0282  2 Cd 2.93-2.96
10 I 0.7181 0.5797 0.1449  1 Cd 2.76
11 I 0.7240 0.0448 0.5545  1 Cd 2.75

Properties
As for the volume: 59.37 A^3/atom. The value obtained for the raw formation energy is -835 meV per atom. The space group is No. 2.

***

7.
A relaxed structure of RbCdHgI, computed with GGA-PBE.

a = 6.1277 Å, b = 6.1277 Å, c = 6.1277 Å
α = 60.00°, β = 60.00°, γ = 60.00°
Closest atoms and distances in Å follow each position.
Fractional coordinates of all 4 atoms:
1 Rb 0.0000 0.0000 0.0000  4 Hg 3.75, 4 I 3.75
2 Cd 0.5000 0.5000 0.5000  4 Hg 3.75, 4 I 3.75
3 Hg 0.7500 0.7500 0.7500  4 Rb 3.75, 4 Cd 3.75
4 I 0.2500 0.2500 0.2500  4 Cd 3.75, 4 Rb 3.75

Properties
As for the volume: 40.67 A^3/atom. The value obtained for the raw formation energy is -529 meV per atom. The space group is No. 216.

***

8.
A relaxed structure of Rb2CdHgI6, computed with GGA-PBE.

a = 8.5313 Å, b = 8.5316 Å, c = 10.1244 Å
α = 114.82°, β = 90.07°, γ = 119.96°
Closest atoms and distances in Å follow each position.
Fractional coordinates of all 10 atoms:
1 Rb 0.0000 0.0000 0.0000  6 I 3.70-3.81
2 Rb 0.4969 0.9954 0.4934  6 I 3.75-3.76
3 Cd 0.7329 0.4657 0.2004  3 I 2.74
4 Hg 0.2277 0.4563 0.6851  3 I 2.76
5 I 0.0737 0.7350 0.1796  1 Cd 2.74
6 I 0.1481 0.7270 0.6725  1 Hg 2.76
7 I 0.4429 0.5176 0.1823  1 Cd 2.74
8 I 0.5782 0.5234 0.6738  1 Hg 2.76
9 I 0.6619 0.1046 0.1804  1 Cd 2.74
10 I 0.9446 0.0933 0.6721  1 Hg 2.76

Properties
As for the volume: 55.83 A^3/atom. The value obtained for the offset from the most stable computed form is 0 meV per atom. The value obtained for the raw formation energy is -843 meV per atom. The space group is No. 1.

***

9.
A relaxed structure of Rb2CdHgI6, computed with GGA-PBE.

a = 8.5314 Å, b = 8.5314 Å, c = 8.5314 Å
α = 60.00°, β = 60.00°, γ = 60.00°
Closest atoms and distances in Å follow each position.
Fractional coordinates of all 10 atoms:
1 Rb 0.2500 0.2500 0.2500  12 I 4.27
2 Rb 0.7500 0.7500 0.7500  12 I 4.27
3 Cd 0.0000 0.0000 0.0000  6 I 3.00
4 Hg 0.5000 0.5000 0.5000  6 I 3.03
5 I 0.2485 0.2485 0.7515  1 Cd 3.00, 1 Hg 3.03
6 I 0.2485 0.7515 0.2485  1 Cd 3.00, 1 Hg 3.03
7 I 0.2485 0.7515 0.7515  1 Cd 3.00, 1 Hg 3.03
8 I 0.7515 0.2485 0.2485  1 Cd 3.00, 1 Hg 3.03
9 I 0.7515 0.2485 0.7515  1 Cd 3.00, 1 Hg 3.03
10 I 0.7515 0.7515 0.2485  1 Cd 3.00, 1 Hg 3.03

Properties
As for the volume: 43.91 A^3/atom. The value obtained for the offset from the most stable computed form is 65 meV per atom. The value obtained for the raw formation energy is -777 meV per atom. The space group is No. 225.

***

10.
A relaxed structure of Cd2HgSbI2, computed with GGA-PBE.

a = 9.3909 Å, b = 9.3909 Å, c = 7.2826 Å
α = 90.00°, β = 90.00°, γ = 49.69°
Closest atoms and distances in Å follow each position.
Fractional coordinates of all 12 atoms:
1 Cd 0.0963 0.0963 0.0000  2 I 2.90, 2 Sb 2.97
2 Cd 0.0963 0.0963 0.5000  2 I 2.90, 2 Sb 2.97
3 Cd 0.9037 0.9037 0.0000  2 I 2.90, 2 Sb 2.97
4 Cd 0.9037 0.9037 0.5000  2 I 2.90, 2 Sb 2.97
5 Hg 0.5000 0.5000 0.0000  2 Sb 2.91
6 Hg 0.5000 0.5000 0.5000  2 Sb 2.91
7 Sb 0.2125 0.7875 0.7500  2 Hg 2.91, 4 Cd 2.97
8 Sb 0.7875 0.2125 0.2500  2 Hg 2.91, 4 Cd 2.97
9 I 0.0279 0.6030 0.2500  2 Cd 2.90
10 I 0.3970 0.9721 0.2500  2 Cd 2.90
11 I 0.6030 0.0279 0.7500  2 Cd 2.90
12 I 0.9721 0.3970 0.7500  2 Cd 2.90

Properties
As for the volume: 40.81 A^3/atom. The value obtained for the raw formation energy is -238 meV per atom. The space group is No. 63.

***

11.
A relaxed structure of Cd2Hg4SbI5, computed with GGA-PBE.

a = 8.1979 Å, b = 8.2664 Å, c = 8.2664 Å
α = 122.62°, β = 90.00°, γ = 90.00°
Closest atoms and distances in Å follow each position.
Fractional coordinates of all 12 atoms:
1 Cd 0.0000 0.2032 0.7968  5 I 2.95-3.00
2 Cd 0.0000 0.7968 0.2032  5 I 2.95-3.00
3 Hg 0.1728 0.5569 0.5569  1 Hg 2.83, 1 Sb 2.94
4 Hg 0.5000 0.1093 0.8451  1 Sb 2.86
5 Hg 0.5000 0.8451 0.1093  1 Sb 2.86
6 Hg 0.8272 0.5569 0.5569  1 Hg 2.83, 1 Sb 2.94
7 Sb 0.5000 0.7101 0.7101  4 Hg 2.86-2.94
8 I 0.0000 0.9817 0.9817  2 Cd 2.95
9 I 0.2495 0.0633 0.4836  2 Cd 2.98-3.00, 1 Hg 3.32
10 I 0.2495 0.4836 0.0633  2 Cd 2.98-3.00, 1 Hg 3.32
11 I 0.7505 0.0633 0.4836  2 Cd 2.98-3.00, 1 Hg 3.32
12 I 0.7505 0.4836 0.0633  2 Cd 2.98-3.00, 1 Hg 3.32

Properties
As for the volume: 39.32 A^3/atom. The value obtained for the raw formation energy is -178 meV per atom. The space group is No. 38.